# 1
# PBE BeFe2W, optimized geometry
# E_form ... 0.116 eV per atom
# E ... -0.3045 Ha/atom
data_BeFe2W
_cell_length_a 2.564
_cell_length_b 4.014
_cell_length_c 4.737
_cell_angle_alpha 90.00
_cell_angle_beta 100.86
_cell_angle_gamma 90.00
_space_group_name_H-M_alt 'P 1 m 1'
_space_group_IT_number 6
loop_
_space_group_symop_operation_xyz
'x,y,z'
'x,-y,z'
loop_
_atom_site_label
_atom_site_fract_x
_atom_site_fract_y
_atom_site_fract_z
Be1 0.000 0.000 0.000
Fe1 0.627 0.000 0.468
Fe2 0.861 0.500 0.231
W1 0.355 0.500 0.739


# 2
# PBE Be4FeW, optimized geometry
# E_form ... -0.185 eV per atom
# E ... -0.2292 Ha/atom
data_Be4FeW
_cell_length_a 6.082
_cell_length_b 6.082
_cell_length_c 6.082
_cell_angle_alpha 90.00
_cell_angle_beta 90.00
_cell_angle_gamma 90.00
_space_group_name_H-M_alt 'F -4 3 m'
_space_group_IT_number 216
_space_group_name_Hall 'F -4 2 3'
loop_
_atom_site_label
_atom_site_fract_x
_atom_site_fract_y
_atom_site_fract_z
Be1 0.123 0.123 0.377
Fe1 0.000 0.000 0.000
W1 0.250 0.250 0.750


# 3
# PBE BeFe2W, optimized geometry
# E_form ... 0.098 eV per atom
# E ... -0.3051 Ha/atom
data_BeFe2W
_cell_length_a 2.641
_cell_length_b 2.641
_cell_length_c 6.418
_cell_angle_alpha 90.00
_cell_angle_beta 90.00
_cell_angle_gamma 90.00
_space_group_name_H-M_alt 'P 4 m m'
_space_group_IT_number 99
loop_
_space_group_symop_operation_xyz
'x,y,z'
'-y,x,z'
'-x,-y,z'
'y,-x,z'
'-x,y,z'
'y,x,z'
'x,-y,z'
'-y,-x,z'
loop_
_atom_site_label
_atom_site_fract_x
_atom_site_fract_y
_atom_site_fract_z
Be1 0.000 0.000 0.000
Fe1 0.000 0.000 0.424
Fe2 0.500 0.500 0.195
W1 0.500 0.500 0.732


# 4
# PBE BeFe4W, optimized geometry
# E_form ... 0.113 eV per atom
# E ... -0.3053 Ha/atom
data_BeFe4W
_cell_length_a 6.560
_cell_length_b 6.560
_cell_length_c 6.560
_cell_angle_alpha 90.00
_cell_angle_beta 90.00
_cell_angle_gamma 90.00
_space_group_name_H-M_alt 'F -4 3 m'
_space_group_IT_number 216
_space_group_name_Hall 'F -4 2 3'
loop_
_atom_site_label
_atom_site_fract_x
_atom_site_fract_y
_atom_site_fract_z
Be1 0.000 0.000 0.000
Fe1 0.125 0.125 0.375
W1 0.250 0.250 0.750


# 5
# PBE BeFe2W, optimized geometry
# E_form ... 0.001 eV per atom
# E ... -0.3087 Ha/atom
data_BeFe2W
_cell_length_a 3.894
_cell_length_b 3.894
_cell_length_c 3.001
_cell_angle_alpha 90.00
_cell_angle_beta 90.00
_cell_angle_gamma 90.00
_space_group_name_H-M_alt 'P 4/m m m'
_space_group_IT_number 123
_space_group_name_Hall '-P 4 2'
loop_
_atom_site_label
_atom_site_fract_x
_atom_site_fract_y
_atom_site_fract_z
Be1 0.000 0.000 0.000
Fe1 0.000 0.500 0.500
W1 0.500 0.500 0.000


# 6
# PBE Be2FeW, optimized geometry
# E_form ... 0.024 eV per atom
# E ... -0.2643 Ha/atom
data_Be2FeW
_cell_length_a 2.692
_cell_length_b 2.705
_cell_length_c 5.852
_cell_angle_alpha 90.00
_cell_angle_beta 90.14
_cell_angle_gamma 90.00
_space_group_name_H-M_alt 'P 1 2/m 1'
_space_group_IT_number 10
loop_
_space_group_symop_operation_xyz
'x,y,z'
'-x,-y,-z'
'-x,y,-z'
'x,-y,z'
loop_
_atom_site_label
_atom_site_fract_x
_atom_site_fract_y
_atom_site_fract_z
Be1 0.000 0.000 0.207
Fe1 0.500 0.500 0.000
W1 0.500 0.500 0.500


# 7
# PBE BeFe2W, optimized geometry
# E_form ... 0.081 eV per atom
# E ... -0.3058 Ha/atom
data_BeFe2W
_cell_length_a 3.456
_cell_length_b 3.456
_cell_length_c 7.695
_cell_angle_alpha 90.00
_cell_angle_beta 90.00
_cell_angle_gamma 90.00
_space_group_name_H-M_alt 'I -4 m 2'
_space_group_IT_number 119
_space_group_name_Hall 'I -4 -2'
loop_
_atom_site_label
_atom_site_fract_x
_atom_site_fract_y
_atom_site_fract_z
Be1 0.000 0.000 0.000
Fe1 0.000 0.000 0.500
Fe2 0.000 0.500 0.750
W1 0.000 0.500 0.250


# 8
# PBE BeFeW3, optimized geometry
# E_form ... 1.020 eV per atom
# E ... -0.3377 Ha/atom
data_BeFeW3
_cell_length_a 4.169
_cell_length_b 4.169
_cell_length_c 4.169
_cell_angle_alpha 90.00
_cell_angle_beta 90.00
_cell_angle_gamma 90.00
_space_group_name_H-M_alt 'P m -3 m'
_space_group_IT_number 221
_space_group_name_Hall '-P 4 2 3'
loop_
_atom_site_label
_atom_site_fract_x
_atom_site_fract_y
_atom_site_fract_z
Be1 0.000 0.000 0.000
Fe1 0.500 0.500 0.500
W1 0.000 0.000 0.500